DFT (PBE with a Hubbard U) results for crystalline WClF3 at its relaxed geometry.

Results
Total moment ... 4.505 μB per formula unit
Theoretical density ... 5293 kg/m3
E ... -2.678 eV per atom

Cell: 4.4255 4.4255 4.4255 Å, 90.00 90.00 90.00°
Closest atoms and distances in Å follow each position.
Sites, in units of the cell vectors:
W: 0.0000 0.0000 0.0000  12 F 3.13
Cl: 0.5000 0.5000 0.5000  6 F 2.21
F: 0.0000 0.5000 0.5000  2 Cl 2.21
F: 0.5000 0.0000 0.5000  2 Cl 2.21
F: 0.5000 0.5000 0.0000  2 Cl 2.21